# PBE-GGA LiScGa, optimized geometry
# E above lowest polymorph = 0.000 eV/f.u.
# mass density = 3.72 Mg/m³
# E_tot = -4.11 eV/atom
# energy of formation from the pure elements = -358 meV/atom
data_LiScGa
_chemical_formula_sum 'Li1 Sc1 Ga1'
_cell_length_a 4.5272
_cell_length_b 4.5272
_cell_length_c 3.0603
_cell_angle_alpha 90.00
_cell_angle_beta 90.00
_cell_angle_gamma 120.00
_space_group_name_H-M_alt 'P -6 m 2'
_space_group_IT_number 187
_space_group_name_Hall 'P -6 2'
loop_
_atom_site_label
_atom_site_type_symbol
_atom_site_fract_x
_atom_site_fract_y
_atom_site_fract_z
_atom_site_occupancy
Li1 Li 0.0000 0.0000 0.0000 1
Sc1 Sc 0.6667 0.3333 0.5000 1
Ga1 Ga 0.3333 0.6667 0.0000 1

# PBE-GGA Li4ScGa5, optimized geometry
# mass density = 4.35 Mg/m³
# E_tot = -3.25 eV/atom
# energy of formation from the pure elements = -334 meV/atom
data_Li4ScGa5
_chemical_formula_sum 'Li4 Sc1 Ga5'
_cell_length_a 3.2404
_cell_length_b 3.2404
_cell_length_c 15.3094
_cell_angle_alpha 90.00
_cell_angle_beta 90.00
_cell_angle_gamma 90.00
_space_group_name_H-M_alt 'P 4/m m m'
_space_group_IT_number 123
_space_group_name_Hall '-P 4 2'
loop_
_atom_site_label
_atom_site_type_symbol
_atom_site_fract_x
_atom_site_fract_y
_atom_site_fract_z
_atom_site_occupancy
Li1 Li 0.0000 0.0000 0.0952 1
Li2 Li 0.0000 0.0000 0.2867 1
Sc1 Sc 0.0000 0.0000 0.5000 1
Ga1 Ga 0.5000 0.5000 0.0000 1
Ga2 Ga 0.5000 0.5000 0.1916 1
Ga3 Ga 0.5000 0.5000 0.3803 1

# PBE-GGA LiScGa2, optimized geometry
# mass density = 4.01 Mg/m³
# E_tot = -3.61 eV/atom
# energy of formation from the pure elements = -30 meV/atom
data_LiScGa2
_chemical_formula_sum 'Li4 Sc4 Ga8'
_cell_length_a 4.1271
_cell_length_b 4.1271
_cell_length_c 18.6202
_cell_angle_alpha 90.00
_cell_angle_beta 90.00
_cell_angle_gamma 90.00
_space_group_name_H-M_alt 'I -4 2 d'
_space_group_IT_number 122
_space_group_name_Hall 'I -4 2bw'
loop_
_atom_site_label
_atom_site_type_symbol
_atom_site_fract_x
_atom_site_fract_y
_atom_site_fract_z
_atom_site_occupancy
Li1 Li 0.0000 0.0000 0.0000 1
Sc1 Sc 0.0000 0.0000 0.5000 1
Ga1 Ga 0.2184 0.2500 0.1250 1

# PBE-GGA LiSc4Ga5, optimized geometry
# mass density = 4.91 Mg/m³
# E_tot = -4.78 eV/atom
# energy of formation from the pure elements = -540 meV/atom
data_LiSc4Ga5
_chemical_formula_sum 'Li1 Sc4 Ga5'
_cell_length_a 3.1817
_cell_length_b 3.1817
_cell_length_c 17.8864
_cell_angle_alpha 90.00
_cell_angle_beta 90.00
_cell_angle_gamma 90.00
_space_group_name_H-M_alt 'P 4/m m m'
_space_group_IT_number 123
_space_group_name_Hall '-P 4 2'
loop_
_atom_site_label
_atom_site_type_symbol
_atom_site_fract_x
_atom_site_fract_y
_atom_site_fract_z
_atom_site_occupancy
Li1 Li 0.0000 0.0000 0.0000 1
Sc1 Sc 0.0000 0.0000 0.1843 1
Sc2 Sc 0.0000 0.0000 0.3946 1
Ga1 Ga 0.5000 0.5000 0.0810 1
Ga2 Ga 0.5000 0.5000 0.2897 1
Ga3 Ga 0.5000 0.5000 0.5000 1

# PBE-GGA LiSc2Ga6, optimized geometry
# mass density = 5.13 Mg/m³
# E_tot = -3.93 eV/atom
# energy of formation from the pure elements = -293 meV/atom
data_LiSc2Ga6
_chemical_formula_sum 'Li2 Sc4 Ga12'
_cell_length_a 13.9950
_cell_length_b 7.2874
_cell_length_c 3.2776
_cell_angle_alpha 90.00
_cell_angle_beta 93.12
_cell_angle_gamma 90.00
_space_group_name_H-M_alt 'C 1 2/m 1'
_space_group_IT_number 12
loop_
_space_group_symop_operation_xyz
'x,y,z'
'-x,-y,-z'
'-x,y,-z'
'x,-y,z'
'x+1/2,y+1/2,z'
'-x+1/2,-y+1/2,-z'
'-x+1/2,y+1/2,-z'
'x+1/2,-y+1/2,z'
loop_
_atom_site_label
_atom_site_type_symbol
_atom_site_fract_x
_atom_site_fract_y
_atom_site_fract_z
_atom_site_occupancy
Li1 Li 0.0000 0.0000 0.0000 1
Sc1 Sc 0.1899 0.5000 0.4911 1
Ga1 Ga 0.0000 0.3112 0.5000 1
Ga2 Ga 0.1592 0.1838 0.9824 1

# PBE-GGA LiSc2Ga, optimized geometry
# mass density = 3.56 Mg/m³
# E_tot = -4.71 eV/atom
# energy of formation from the pure elements = -309 meV/atom
data_LiSc2Ga
_chemical_formula_sum 'Li1 Sc2 Ga1'
_cell_length_a 4.6377
_cell_length_b 4.6377
_cell_length_c 3.6095
_cell_angle_alpha 90.00
_cell_angle_beta 90.00
_cell_angle_gamma 90.00
_space_group_name_H-M_alt 'P 4/m m m'
_space_group_IT_number 123
_space_group_name_Hall '-P 4 2'
loop_
_atom_site_label
_atom_site_type_symbol
_atom_site_fract_x
_atom_site_fract_y
_atom_site_fract_z
_atom_site_occupancy
Li1 Li 0.0000 0.0000 0.0000 1
Sc1 Sc 0.0000 0.5000 0.5000 1
Ga1 Ga 0.5000 0.5000 0.0000 1

# PBE-GGA LiScGa2, optimized geometry
# mass density = 4.52 Mg/m³
# E_tot = -4.06 eV/atom
# energy of formation from the pure elements = -481 meV/atom
data_LiScGa2
_chemical_formula_sum 'Li1 Sc1 Ga2'
_cell_length_a 4.5337
_cell_length_b 4.5337
_cell_length_c 3.4172
_cell_angle_alpha 90.00
_cell_angle_beta 90.00
_cell_angle_gamma 90.00
_space_group_name_H-M_alt 'P 4/m m m'
_space_group_IT_number 123
_space_group_name_Hall '-P 4 2'
loop_
_atom_site_label
_atom_site_type_symbol
_atom_site_fract_x
_atom_site_fract_y
_atom_site_fract_z
_atom_site_occupancy
Li1 Li 0.0000 0.0000 0.0000 1
Sc1 Sc 0.5000 0.5000 0.0000 1
Ga1 Ga 0.0000 0.5000 0.5000 1

# PBE-GGA Li3Sc2Ga4, optimized geometry
# mass density = 4.10 Mg/m³
# E_tot = -3.76 eV/atom
# energy of formation from the pure elements = -367 meV/atom
data_Li3Sc2Ga4
_chemical_formula_sum 'Li12 Sc8 Ga16'
_cell_length_a 5.4768
_cell_length_b 15.9827
_cell_length_c 7.2165
_cell_angle_alpha 90.00
_cell_angle_beta 90.00
_cell_angle_gamma 90.00
_space_group_name_H-M_alt 'C m c e'
_space_group_IT_number 64
_space_group_name_Hall '-C 2ac 2'
loop_
_atom_site_label
_atom_site_type_symbol
_atom_site_fract_x
_atom_site_fract_y
_atom_site_fract_z
_atom_site_occupancy
Li1 Li 0.0000 0.0000 0.0000 1
Li2 Li 0.2500 0.2381 0.2500 1
Sc1 Sc 0.0000 0.0942 0.6049 1
Ga1 Ga 0.0000 0.1576 0.9797 1
Ga2 Ga 0.2500 0.0703 0.2500 1

# PBE-GGA Li2Sc2Ga, optimized geometry
# E above lowest polymorph = 0.208 eV/f.u.
# mass density = 2.88 Mg/m³
# E_tot = -3.92 eV/atom
# energy of formation from the pure elements = -20 meV/atom
data_Li2Sc2Ga
_chemical_formula_sum 'Li4 Sc4 Ga2'
_cell_length_a 3.3344
_cell_length_b 3.3344
_cell_length_c 18.0076
_cell_angle_alpha 90.00
_cell_angle_beta 90.00
_cell_angle_gamma 90.00
_space_group_name_H-M_alt 'I 4/m m m'
_space_group_IT_number 139
_space_group_name_Hall '-I 4 2'
loop_
_atom_site_label
_atom_site_type_symbol
_atom_site_fract_x
_atom_site_fract_y
_atom_site_fract_z
_atom_site_occupancy
Li1 Li 0.0000 0.5000 0.2500 1
Sc1 Sc 0.0000 0.0000 0.0955 1
Ga1 Ga 0.0000 0.0000 0.5000 1

# PBE-GGA LiSc2Ga2, optimized geometry
# E above lowest polymorph = 0.000 eV/f.u.
# mass density = 4.05 Mg/m³
# E_tot = -4.58 eV/atom
# energy of formation from the pure elements = -451 meV/atom
data_LiSc2Ga2
_chemical_formula_sum 'Li2 Sc4 Ga4'
_cell_length_a 6.8500
_cell_length_b 6.8500
_cell_length_c 4.1335
_cell_angle_alpha 90.00
_cell_angle_beta 90.00
_cell_angle_gamma 90.00
_space_group_name_H-M_alt 'P 4/m b m'
_space_group_IT_number 127
_space_group_name_Hall '-P 4 2ab'
loop_
_atom_site_label
_atom_site_type_symbol
_atom_site_fract_x
_atom_site_fract_y
_atom_site_fract_z
_atom_site_occupancy
Li1 Li 0.0000 0.0000 0.0000 1
Sc1 Sc 0.1649 0.3351 0.5000 1
Ga1 Ga 0.1372 0.6372 0.0000 1

# PBE-GGA Li3Sc3GaSe8, optimized geometry
# ΔE_f (raw) = -1291 meV per atom
# mass density = 4.36 Mg/m³
# E_tot = -5.00 eV/atom
data_Li3Sc3GaSe8
_chemical_formula_sum 'Li9 Sc9 Ga3 Se24'
_cell_length_a 7.6367
_cell_length_b 7.6367
_cell_length_c 19.3866
_cell_angle_alpha 90.00
_cell_angle_beta 90.00
_cell_angle_gamma 120.00
_space_group_name_H-M_alt 'R -3 m'
_space_group_IT_number 166
_space_group_name_Hall '-R 3 2"'
loop_
_atom_site_label
_atom_site_type_symbol
_atom_site_fract_x
_atom_site_fract_y
_atom_site_fract_z
_atom_site_occupancy
Li1 Li 0.0000 0.5000 0.0000 1
Sc1 Sc 0.0000 0.5000 0.5000 1
Ga1 Ga 0.0000 0.0000 0.5000 1
Se1 Se 0.0000 0.0000 0.2480 1
Se2 Se 0.0068 0.5034 0.2461 1

# PBE-GGA Li2ScGaSe4, optimized geometry
# ΔE_f (raw) = -1146 meV per atom
# mass density = 4.55 Mg/m³
# E_tot = -4.54 eV/atom
data_Li2ScGaSe4
_chemical_formula_sum 'Li8 Sc4 Ga4 Se16'
_cell_length_a 7.6027
_cell_length_b 7.7683
_cell_length_c 10.9874
_cell_angle_alpha 90.00
_cell_angle_beta 90.00
_cell_angle_gamma 90.00
_space_group_name_H-M_alt 'I m m a'
_space_group_IT_number 74
_space_group_name_Hall '-I 2b 2'
loop_
_atom_site_label
_atom_site_type_symbol
_atom_site_fract_x
_atom_site_fract_y
_atom_site_fract_z
_atom_site_occupancy
Li1 Li 0.0000 0.0000 0.0000 1
Li2 Li 0.2500 0.2500 0.2500 1
Sc1 Sc 0.0000 0.0000 0.5000 1
Ga1 Ga 0.2500 0.2500 0.7500 1
Se1 Se 0.0000 0.0186 0.7494 1
Se2 Se 0.2479 0.2500 0.4997 1